Computed, not measured: a relaxed structure of FeTc2Au at the PBE level of DFT.

Calculated values
**E_tot**: -31.47 eV/cell
**Total magnetization**: 2.3 μB per formula unit
**Polymorph energy (0 for the lowest one)**: 0.056 eV/atom
**D(E_F)**: 3.08 states/eV/f.u.

Lattice parameters (Å, degrees): 3.7979 3.7979 4.0480 90.00 90.00 90.00
With the nearest neighbours (Å) after each atom.
Atoms (fractional coordinates):
Fe 0.0000 0.0000 0.0000  4 Au 2.69, 8 Tc 2.78
Tc 0.0000 0.5000 0.5000  4 Tc 2.69, 4 Fe 2.78, 4 Au 2.78
Tc 0.5000 0.0000 0.5000  4 Tc 2.69, 4 Fe 2.78, 4 Au 2.78
Au 0.5000 0.5000 0.0000  4 Fe 2.69, 8 Tc 2.78